! PrNdPI | OQMD via LeMat-Bulk | PBE | optimized geometry; values from VASP
&SYSTEM
  ibrav = 0, nat = 4, ntyp = 4
/
ATOMIC_SPECIES
I 126.90 I.upf
Nd 144.24 Nd.upf
P 30.97 P.upf
Pr 140.91 Pr.upf
CELL_PARAMETERS angstrom
2.123 1.226 7.708
-2.123 1.226 7.708
0.000 -2.451 7.708
ATOMIC_POSITIONS angstrom
I 0.000 0.000 23.107
Nd 0.000 0.000 5.297
P 0.000 0.000 11.585
Pr 0.000 0.000 17.823
! - Total DFT energy (no corrections): -5.4997 eV per atom
! - V: 30.1 Å³ per atom
! - Space group: R3m